[1]
Material: CeNp2As3
Method: DFT, GGA-PBE
State: relaxed

Cell: 4.155 5.870 7.173 Å, 114.15 106.84 90.00°
Each line ends with the local moment (μB).
Element x y z (fractional)
As1 0.671 0.671 0.342  -0.09
As2 0.329 0.329 0.658  -0.09
As3 0.000 0.000 0.000  -0.09
Np1 0.335 0.835 0.670  3.75
Np2 0.665 0.165 0.330  3.75
Ce1 0.000 0.500 0.000  0.65

Computed properties:
Space group   Immm, No. 71
Formation energy   -0.9274 eV/atom
Total magnetization   8.568 μB/cell

***

[2]
Material: CeNp5As6
Method: DFT, GGA-PBE
State: relaxed

Cell: 7.152 7.152 7.161 Å, 99.59 99.59 119.99°
Each line ends with the local moment (μB).
Element x y z (fractional)
As1 0.255 0.255 0.749  -0.11
As2 0.577 0.915 0.747  -0.10
As3 0.915 0.577 0.747  -0.10
As4 0.423 0.085 0.253  -0.10
As5 0.745 0.745 0.251  -0.11
As6 0.085 0.423 0.253  -0.10
Np1 0.165 0.835 0.500  3.74
Np2 0.667 0.333 0.000  3.74
Np3 0.835 0.165 0.500  3.74
Np4 0.500 0.500 0.500  3.73
Np5 0.333 0.667 0.000  3.74
Ce1 0.000 0.000 0.000  0.65

Computed properties:
Space group   C2/m, No. 12
Formation energy   -0.8061 eV/atom
Total magnetization   20.221 μB/cell